<1>
Material: HfMn2Pd8
Method: DFT, PBE
State: optimized geometry

Unit cell a=7.337 b=7.337 c=7.337 alpha=147.07 beta=123.56 gamma=66.91
Fractional positions:
Hf 0.000 0.000 0.000
Mn 0.308 0.308 0.000
Mn 0.692 0.692 0.000
Pd 0.121 0.841 0.280
Pd 0.151 0.651 0.500
Pd 0.299 0.500 0.799
Pd 0.438 0.159 0.280
Pd 0.562 0.841 0.720
Pd 0.701 0.500 0.201
Pd 0.849 0.349 0.500
Pd 0.879 0.159 0.720

***

<2>
Material: HfMn2Pd8
Method: DFT, PBE
State: optimized geometry

Unit cell a=7.343 b=7.343 c=6.294 alpha=105.99 beta=105.99 gamma=31.85
Fractional positions:
Hf 0.000 0.000 0.000
Mn 0.276 0.276 0.349
Mn 0.724 0.724 0.651
Pd 0.098 0.098 0.458
Pd 0.181 0.181 0.917
Pd 0.358 0.358 0.807
Pd 0.456 0.456 0.273
Pd 0.544 0.544 0.727
Pd 0.642 0.642 0.193
Pd 0.819 0.819 0.083
Pd 0.902 0.902 0.542

***

Energies, relative to the best one, in kJ/mol of atoms: <1> 5.0; <2> 0.0.

***

<1>
Material: HfMnPt4
Method: DFT, PBE
State: optimized geometry

Unit cell a=7.594 b=2.915 c=17.748 alpha=90.00 beta=90.00 gamma=90.00
Fractional positions:
Hf 0.221 0.250 0.055
Hf 0.279 0.750 0.555
Hf 0.721 0.250 0.445
Hf 0.779 0.750 0.945
Mn 0.225 0.750 0.306
Mn 0.275 0.250 0.806
Mn 0.725 0.750 0.194
Mn 0.775 0.250 0.694
Pt 0.029 0.750 0.433
Pt 0.081 0.750 0.174
Pt 0.091 0.750 0.698
Pt 0.140 0.750 0.924
Pt 0.360 0.250 0.424
Pt 0.409 0.250 0.198
Pt 0.419 0.250 0.674
Pt 0.471 0.250 0.933
Pt 0.529 0.750 0.067
Pt 0.581 0.750 0.326
Pt 0.591 0.750 0.802
Pt 0.640 0.750 0.576
Pt 0.860 0.250 0.076
Pt 0.909 0.250 0.302
Pt 0.919 0.250 0.826
Pt 0.971 0.250 0.567

***

<2>
Material: HfMnPt4
Method: DFT, PBE
State: optimized geometry

Unit cell a=4.579 b=4.579 c=7.848 alpha=115.61 beta=115.61 gamma=50.98
Fractional positions:
Hf 0.000 0.000 0.000
Mn 0.000 0.000 0.500
Pt 0.244 0.244 0.866
Pt 0.256 0.256 0.383
Pt 0.744 0.744 0.617
Pt 0.756 0.756 0.134

***

Energies, relative to the best one, in kJ/mol of atoms: <1> 0.0; <2> 5.9.

***

<1>
Material: Hf3MnPt
Method: DFT, PBE
State: optimized geometry

Unit cell a=4.686 b=4.686 c=4.686 alpha=90.00 beta=90.00 gamma=90.00
Fractional positions:
Hf 0.000 0.000 0.500
Hf 0.000 0.500 0.000
Hf 0.500 0.000 0.000
Mn 0.000 0.000 0.000
Pt 0.500 0.500 0.500

***

<2>
Material: Hf3MnPt
Method: DFT, PBE
State: optimized geometry

Unit cell a=5.044 b=5.044 c=5.044 alpha=90.00 beta=90.00 gamma=90.00
Fractional positions:
Hf 0.000 0.000 0.500
Hf 0.000 0.500 0.000
Hf 0.500 0.000 0.000
Mn 0.500 0.500 0.500
Pt 0.000 0.000 0.000

***

Energies, relative to the best one, in kJ/mol of atoms: <1> 0.0; <2> 28.3.

***

<1>
Material: HfMnPt3
Method: DFT, PBE
State: optimized geometry

Unit cell a=4.609 b=4.609 c=4.609 alpha=90.00 beta=90.00 gamma=90.00
Fractional positions:
Hf 0.000 0.000 0.000
Mn 0.500 0.500 0.500
Pt 0.000 0.500 0.500
Pt 0.500 0.000 0.500
Pt 0.500 0.500 0.000

***

<2>
Material: HfMnPt3
Method: DFT, PBE
State: optimized geometry

Unit cell a=7.259 b=7.259 c=5.252 alpha=97.35 beta=97.35 gamma=137.13
Fractional positions:
Hf 0.177 0.823 0.750
Hf 0.823 0.177 0.250
Mn 0.475 0.525 0.250
Mn 0.525 0.475 0.750
Pt 0.000 0.000 0.000
Pt 0.000 0.000 0.500
Pt 0.119 0.436 0.849
Pt 0.436 0.119 0.349
Pt 0.564 0.881 0.651
Pt 0.881 0.564 0.151

***

Energies, relative to the best one, in kJ/mol of atoms: <1> 86.5; <2> 0.0.

***

<1>
Material: RbHfMn2
Method: DFT, PBE
State: optimized geometry

Unit cell a=5.021 b=5.021 c=5.021 alpha=60.00 beta=60.00 gamma=60.00
Fractional positions:
Rb 0.000 0.000 0.000
Hf 0.500 0.500 0.500
Mn 0.250 0.250 0.250
Mn 0.750 0.750 0.750

***

<2>
Material: RbHfMn2
Method: DFT, PBE
State: optimized geometry

Unit cell a=9.657 b=9.657 c=9.657 alpha=147.50 beta=147.50 gamma=46.63
Fractional positions:
Rb 0.375 0.625 0.750
Rb 0.625 0.375 0.250
Hf 0.125 0.875 0.250
Hf 0.875 0.125 0.750
Mn 0.000 0.000 0.000
Mn 0.000 0.000 0.500
Mn 0.000 0.500 0.000
Mn 0.500 0.000 0.500

***

Energies, relative to the best one, in kJ/mol of atoms: <1> 0.0; <2> 6.3.

***

<1>
Material: Rb2HfMn
Method: DFT, PBE
State: optimized geometry

Unit cell a=9.813 b=9.813 c=9.813 alpha=93.29 beta=93.29 gamma=152.30
Fractional positions:
Rb 0.375 0.036 0.161
Rb 0.786 0.625 0.661
Rb 0.875 0.214 0.839
Rb 0.964 0.125 0.339
Hf 0.250 0.750 0.500
Hf 0.500 0.500 0.000
Mn 0.000 0.000 0.000
Mn 0.750 0.250 0.500

***

<2>
Material: Rb2HfMn
Method: DFT, PBE
State: optimized geometry

Unit cell a=5.807 b=5.807 c=5.807 alpha=60.00 beta=60.00 gamma=60.00
Fractional positions:
Rb 0.250 0.250 0.250
Rb 0.750 0.750 0.750
Hf 0.000 0.000 0.000
Mn 0.500 0.500 0.500

***

Energies, relative to the best one, in kJ/mol of atoms: <1> 0.0; <2> 105.0.

***

<1>
Material: HfMnRe2
Method: DFT, PBE
State: optimized geometry

Unit cell a=4.418 b=4.418 c=4.418 alpha=60.00 beta=60.00 gamma=60.00
Fractional positions:
Hf 0.000 0.000 0.000
Mn 0.500 0.500 0.500
Re 0.250 0.250 0.250
Re 0.750 0.750 0.750

***

<2>
Material: HfMnRe2
Method: DFT, PBE
State: optimized geometry

Unit cell a=5.727 b=5.727 c=5.727 alpha=101.38 beta=101.38 gamma=127.26
Fractional positions:
Hf 0.000 0.000 0.000
Hf 0.750 0.250 0.500
Mn 0.250 0.750 0.500
Mn 0.500 0.500 0.000
Re 0.182 0.125 0.557
Re 0.375 0.818 0.943
Re 0.568 0.625 0.443
Re 0.875 0.432 0.057

***

Energies, relative to the best one, in kJ/mol of atoms: <1> 0.0; <2> 33.6.

***

<1>
Material: HfMn2Re2
Method: DFT, PBE
State: optimized geometry

Unit cell a=7.309 b=7.309 c=2.767 alpha=90.00 beta=90.00 gamma=90.00
Fractional positions:
Hf 0.000 0.000 0.000
Hf 0.500 0.500 0.000
Mn 0.146 0.354 0.500
Mn 0.354 0.854 0.500
Mn 0.646 0.146 0.500
Mn 0.854 0.646 0.500
Re 0.147 0.647 0.000
Re 0.353 0.147 0.000
Re 0.647 0.853 0.000
Re 0.853 0.353 0.000

***

<2>
Material: HfMn2Re2
Method: DFT, PBE
State: optimized geometry

Unit cell a=5.811 b=5.811 c=5.811 alpha=139.85 beta=139.85 gamma=58.08
Fractional positions:
Hf 0.000 0.000 0.000
Mn 0.250 0.750 0.500
Mn 0.750 0.250 0.500
Re 0.377 0.377 0.000
Re 0.623 0.623 0.000

***

<3>
Material: HfMn2Re2
Method: DFT, PBE
State: optimized geometry

Unit cell a=7.246 b=7.246 c=2.785 alpha=90.00 beta=90.00 gamma=90.00
Fractional positions:
Hf 0.000 0.000 0.000
Hf 0.500 0.500 0.000
Mn 0.133 0.367 0.000
Mn 0.367 0.867 0.000
Mn 0.633 0.133 0.000
Mn 0.867 0.633 0.000
Re 0.161 0.661 0.500
Re 0.339 0.161 0.500
Re 0.661 0.839 0.500
Re 0.839 0.339 0.500

***

Energies, relative to the best one, in kJ/mol of atoms: <1> 8.3; <2> 7.2; <3> 0.0.

***

<1>
Material: HfMn4Re
Method: DFT, PBE
State: optimized geometry

Unit cell a=4.784 b=4.808 c=5.145 alpha=62.55 beta=62.92 gamma=63.15
Fractional positions:
Hf 0.000 0.000 0.000
Mn 0.000 0.500 0.500
Mn 0.388 0.390 0.849
Mn 0.500 0.000 0.500
Mn 0.612 0.610 0.151
Re 0.000 0.000 0.500

***

<2>
Material: HfMn4Re
Method: DFT, PBE
State: optimized geometry

Unit cell a=4.790 b=4.790 c=4.790 alpha=60.00 beta=60.00 gamma=60.00
Fractional positions:
Hf 0.000 0.000 0.000
Mn 0.373 0.373 0.373
Mn 0.373 0.373 0.880
Mn 0.373 0.880 0.373
Mn 0.880 0.373 0.373
Re 0.750 0.750 0.750

***

Energies, relative to the best one, in kJ/mol of atoms: <1> 43.6; <2> 0.0.

***

<1>
Material: HfMnRe3
Method: DFT, PBE
State: optimized geometry

Unit cell a=4.696 b=4.696 c=4.696 alpha=90.00 beta=90.00 gamma=90.00
Fractional positions:
Hf 0.000 0.000 0.000
Mn 0.500 0.500 0.500
Re 0.000 0.000 0.500
Re 0.000 0.500 0.000
Re 0.500 0.000 0.000

***

<2>
Material: HfMnRe3
Method: DFT, PBE
State: optimized geometry

Unit cell a=4.445 b=4.445 c=4.445 alpha=90.00 beta=90.00 gamma=90.00
Fractional positions:
Hf 0.000 0.000 0.000
Mn 0.500 0.500 0.500
Re 0.000 0.500 0.500
Re 0.500 0.000 0.500
Re 0.500 0.500 0.000

***

Energies, relative to the best one, in kJ/mol of atoms: <1> 188.8; <2> 0.0.

***

<1>
Material: HfMn3Rh
Method: DFT, PBE
State: optimized geometry

Unit cell a=4.657 b=4.657 c=4.657 alpha=90.00 beta=90.00 gamma=90.00
Fractional positions:
Hf 0.000 0.000 0.000
Mn 0.000 0.500 0.500
Mn 0.500 0.000 0.500
Mn 0.500 0.500 0.000
Rh 0.500 0.500 0.500

***

<2>
Material: HfMn3Rh
Method: DFT, PBE
State: optimized geometry

Unit cell a=4.381 b=4.381 c=4.381 alpha=90.00 beta=90.00 gamma=90.00
Fractional positions:
Hf 0.000 0.000 0.000
Mn 0.000 0.000 0.500
Mn 0.000 0.500 0.000
Mn 0.500 0.000 0.000
Rh 0.500 0.500 0.500

***

Energies, relative to the best one, in kJ/mol of atoms: <1> 0.0; <2> 105.4.

***

<1>
Material: Hf2MnRh
Method: DFT, PBE
State: optimized geometry

Unit cell a=9.514 b=9.514 c=9.514 alpha=154.90 beta=154.90 gamma=35.80
Fractional positions:
Hf 0.125 0.625 0.000
Hf 0.375 0.375 0.500
Hf 0.625 0.125 0.000
Hf 0.875 0.875 0.500
Mn 0.000 0.000 0.000
Mn 0.750 0.250 0.500
Rh 0.250 0.750 0.500
Rh 0.500 0.500 0.000

***

<2>
Material: Hf2MnRh
Method: DFT, PBE
State: optimized geometry

Unit cell a=4.541 b=4.541 c=4.541 alpha=60.00 beta=60.00 gamma=60.00
Fractional positions:
Hf 0.250 0.250 0.250
Hf 0.750 0.750 0.750
Mn 0.000 0.000 0.000
Rh 0.500 0.500 0.500

***

Energies, relative to the best one, in kJ/mol of atoms: <1> 81.6; <2> 0.0.